DFT (PBE) results for an optimized crystal structure of Ac6Nd3Tm2.

The value obtained for the magnetization is 0.0 μB per cell. The formation energy is 0.052 eV per atom.

Unit cell a=8.536 b=6.612 c=15.706 alpha=60.65 beta=49.52 gamma=97.46
Sites, in units of the cell vectors:
Ac (0.083, 0.736, 0.819)
Ac (0.635, 0.086, 0.736)
Ac (0.917, 0.264, 0.181)
Ac (0.365, 0.914, 0.264)
Ac (0.719, 0.814, 0.550)
Ac (0.281, 0.186, 0.450)
Nd (0.000, 0.000, 0.000)
Nd (0.830, 0.550, 0.356)
Nd (0.170, 0.450, 0.644)
Tm (0.460, 0.647, 0.086)
Tm (0.540, 0.353, 0.914)

DFT (PBE) results for an optimized crystal structure of Ac6Nd5Tm2.

The value obtained for the magnetization is 0.0 μB per cell. The formation energy is 0.148 eV per atom.

Unit cell a=3.757 b=11.356 c=24.122 alpha=90.00 beta=90.00 gamma=90.00
Sites, in units of the cell vectors:
Ac (0.000, 0.148, 0.385)
Ac (0.000, 0.852, 0.615)
Ac (0.000, 0.648, 0.115)
Ac (0.000, 0.352, 0.885)
Ac (0.500, 0.334, 0.135)
Ac (0.500, 0.666, 0.865)
Ac (0.500, 0.834, 0.365)
Ac (0.500, 0.166, 0.635)
Ac (0.000, 0.518, 0.386)
Ac (0.000, 0.482, 0.614)
Ac (0.000, 0.018, 0.114)
Ac (0.000, 0.982, 0.886)
Nd (0.500, 0.336, 0.497)
Nd (0.500, 0.664, 0.503)
Nd (0.500, 0.836, 0.003)
Nd (0.500, 0.164, 0.997)
Nd (0.500, 0.584, 0.250)
Nd (0.500, 0.416, 0.750)
Nd (0.500, 0.084, 0.250)
Nd (0.500, 0.916, 0.750)
Nd (0.500, 0.500, 0.000)
Nd (0.500, 0.000, 0.500)
Tm (0.000, 0.334, 0.265)
Tm (0.000, 0.666, 0.735)
Tm (0.000, 0.834, 0.235)
Tm (0.000, 0.166, 0.765)

DFT (PBE) results for an optimized crystal structure of AcNd8Tm2.

The value obtained for the magnetization is 0.0 μB per cell. The formation energy is 0.117 eV per atom.

Unit cell a=5.663 b=10.534 c=10.534 alpha=39.86 beta=93.31 gamma=93.31
Sites, in units of the cell vectors:
Ac (0.000, 0.000, 0.000)
Nd (0.271, 0.135, 0.592)
Nd (0.271, 0.592, 0.135)
Nd (0.729, 0.865, 0.408)
Nd (0.242, 0.545, 0.545)
Nd (0.729, 0.408, 0.865)
Nd (0.234, 0.190, 0.190)
Nd (0.766, 0.810, 0.810)
Nd (0.758, 0.455, 0.455)
Tm (0.751, 0.285, 0.285)
Tm (0.249, 0.715, 0.715)

DFT (PBE) results for an optimized crystal structure of AcNd4Tm.

The value obtained for the magnetization is 0.0 μB per cell. The formation energy is 0.033 eV per atom.

Unit cell a=6.353 b=6.353 c=11.213 alpha=90.00 beta=90.00 gamma=107.87
Sites, in units of the cell vectors:
Ac (0.000, 0.000, 0.000)
Ac (0.500, 0.500, 0.000)
Nd (0.000, 0.500, 0.179)
Nd (0.500, 0.000, 0.821)
Nd (0.500, 0.500, 0.340)
Nd (0.000, 0.000, 0.660)
Nd (0.000, 0.500, 0.821)
Nd (0.500, 0.000, 0.179)
Nd (0.500, 0.500, 0.660)
Nd (0.000, 0.000, 0.340)
Tm (0.500, 0.000, 0.500)
Tm (0.000, 0.500, 0.500)

DFT (PBE) results for an optimized crystal structure of Ac2Nd7Tm2.

The value obtained for the magnetization is 0.0 μB per cell. The formation energy is 0.197 eV per atom.

Unit cell a=9.764 b=8.419 c=9.764 alpha=45.68 beta=124.39 gamma=134.32
Sites, in units of the cell vectors:
Ac (0.253, 0.068, 0.747)
Ac (0.747, 0.932, 0.253)
Nd (0.532, 0.275, 0.083)
Nd (0.083, 0.725, 0.532)
Nd (0.468, 0.725, 0.917)
Nd (0.917, 0.275, 0.468)
Nd (0.543, 0.280, 0.457)
Nd (0.000, 0.000, 0.000)
Nd (0.457, 0.720, 0.543)
Tm (0.787, 0.500, 0.787)
Tm (0.213, 0.500, 0.213)

DFT (PBE) results for an optimized crystal structure of AcNdTm2.

The value obtained for the magnetization is 0.0 μB per cell. The formation energy is 0.054 eV per atom.

Unit cell a=3.773 b=3.773 c=9.742 alpha=90.00 beta=90.00 gamma=90.00
Sites, in units of the cell vectors:
Ac (0.500, 0.500, 0.500)
Tm (0.000, 0.000, 0.760)
Tm (0.000, 0.000, 0.240)
Nd (0.500, 0.500, 0.000)

DFT (PBE) results for an optimized crystal structure of Ac2Nd3Tm3.

The value obtained for the magnetization is 0.0 μB per cell. The formation energy is 0.155 eV per atom.

Unit cell a=3.813 b=9.026 c=17.426 alpha=90.00 beta=90.00 gamma=102.19
Sites, in units of the cell vectors:
Ac (0.748, 0.496, 0.608)
Ac (0.252, 0.504, 0.108)
Ac (0.748, 0.496, 0.892)
Ac (0.252, 0.504, 0.392)
Nd (0.593, 0.187, 0.041)
Nd (0.407, 0.813, 0.541)
Nd (0.593, 0.187, 0.459)
Nd (0.407, 0.813, 0.959)
Nd (0.388, 0.777, 0.250)
Nd (0.612, 0.223, 0.750)
Tm (0.958, 0.916, 0.118)
Tm (0.042, 0.084, 0.618)
Tm (0.958, 0.916, 0.382)
Tm (0.042, 0.084, 0.882)
Tm (0.588, 0.176, 0.250)
Tm (0.412, 0.824, 0.750)

DFT (PBE) results for an optimized crystal structure of Ac2NdTm.

The value obtained for the magnetization is 0.0 μB per cell. The formation energy is 0.048 eV per atom.

Unit cell a=3.886 b=3.886 c=10.150 alpha=90.00 beta=90.00 gamma=90.00
Sites, in units of the cell vectors:
Ac (0.000, 0.000, 0.757)
Ac (0.000, 0.000, 0.243)
Tm (0.500, 0.500, 0.000)
Nd (0.500, 0.500, 0.500)

DFT (PBE) results for an optimized crystal structure of AcNd12Tm7.

The value obtained for the magnetization is 0.0 μB per cell. The formation energy is 0.221 eV per atom.

Unit cell a=8.824 b=8.824 c=8.824 alpha=88.78 beta=88.78 gamma=88.78
Sites, in units of the cell vectors:
Ac (0.000, 0.000, 0.000)
Nd (0.863, 0.279, 0.725)
Nd (0.721, 0.275, 0.137)
Nd (0.627, 0.142, 0.496)
Nd (0.858, 0.504, 0.373)
Nd (0.275, 0.137, 0.721)
Nd (0.504, 0.373, 0.858)
Nd (0.496, 0.627, 0.142)
Nd (0.725, 0.863, 0.279)
Nd (0.142, 0.496, 0.627)
Nd (0.373, 0.858, 0.504)
Nd (0.279, 0.725, 0.863)
Nd (0.137, 0.721, 0.275)
Tm (0.847, 0.614, 0.940)
Tm (0.386, 0.060, 0.153)
Tm (0.060, 0.153, 0.386)
Tm (0.500, 0.500, 0.500)
Tm (0.940, 0.847, 0.614)
Tm (0.614, 0.940, 0.847)
Tm (0.153, 0.386, 0.060)

DFT (PBE) results for an optimized crystal structure of Ac3Nd12Tm.

The value obtained for the magnetization is 0.0 μB per cell. The formation energy is 0.025 eV per atom.

Unit cell a=5.271 b=5.271 c=21.026 alpha=90.00 beta=90.00 gamma=90.00
Sites, in units of the cell vectors:
Ac (0.000, 0.000, 0.247)
Ac (0.000, 0.000, 0.500)
Ac (0.000, 0.000, 0.753)
Nd (0.500, 0.500, 0.000)
Nd (0.500, 0.500, 0.246)
Nd (0.500, 0.500, 0.500)
Nd (0.500, 0.500, 0.754)
Nd (0.500, 0.000, 0.119)
Nd (0.500, 0.000, 0.374)
Nd (0.500, 0.000, 0.626)
Nd (0.500, 0.000, 0.881)
Nd (0.000, 0.500, 0.119)
Nd (0.000, 0.500, 0.374)
Nd (0.000, 0.500, 0.626)
Nd (0.000, 0.500, 0.881)
Tm (0.000, 0.000, 0.000)

DFT (PBE) results for an optimized crystal structure of Ac4Nd6Tm.

The value obtained for the magnetization is 0.0 μB per cell. The formation energy is 0.245 eV per atom.

Unit cell a=9.833 b=9.833 c=9.833 alpha=62.03 beta=137.26 gamma=137.26
Sites, in units of the cell vectors:
Ac (0.000, 0.626, 0.015)
Ac (0.388, 0.374, 0.374)
Ac (0.000, 0.015, 0.626)
Ac (0.612, 0.985, 0.985)
Nd (0.000, 0.773, 0.432)
Nd (0.000, 0.432, 0.773)
Nd (0.342, 0.568, 0.568)
Nd (0.500, 0.500, 0.000)
Nd (0.658, 0.227, 0.227)
Nd (0.500, 0.000, 0.500)
Tm (0.000, 0.000, 0.000)

DFT (PBE) results for an optimized crystal structure of Ac5Nd12Tm2.

The value obtained for the magnetization is 0.0 μB per cell. The formation energy is 0.152 eV per atom.

Unit cell a=7.377 b=9.041 c=12.123 alpha=109.83 beta=107.71 gamma=90.00
Sites, in units of the cell vectors:
Ac (0.755, 0.516, 0.510)
Ac (0.650, 0.089, 0.301)
Ac (0.000, 0.500, 0.000)
Ac (0.350, 0.911, 0.699)
Ac (0.245, 0.484, 0.490)
Nd (0.861, 0.951, 0.723)
Nd (0.452, 0.790, 0.399)
Nd (0.947, 0.790, 0.399)
Nd (0.366, 0.375, 0.209)
Nd (0.843, 0.375, 0.209)
Nd (0.547, 0.692, 0.093)
Nd (0.453, 0.308, 0.907)
Nd (0.634, 0.625, 0.791)
Nd (0.157, 0.625, 0.791)
Nd (0.548, 0.210, 0.601)
Nd (0.053, 0.210, 0.601)
Nd (0.139, 0.049, 0.277)
Tm (0.741, 0.000, 0.000)
Tm (0.259, 0.000, 0.000)